[1]
VASP calculation (PBE-GGA) on an optimized crystal structure of PmSm2Er.

Cell lengths 5.103, 5.104, 6.230 Å; angles 114.18, 114.18, 90.00 degrees
Element x y z (fractional)
1 Pm 0.250 0.750 0.500
2 Sm 0.000 0.000 0.000
3 Sm 0.750 0.250 0.500
4 Er 0.500 0.500 0.000

ΔH_f (0 K) = 2 kJ per mole of atoms
Total magnetization = 0.0 μB per formula unit
DFT total energy = -4.67 eV per atom
Mass density = 7.70 g/cm³

[2]
VASP calculation (PBE-GGA) on an optimized crystal structure of TiAlB2.

Cell lengths 5.914, 5.914, 4.954 Å; angles 53.35, 53.35, 90.00 degrees
Element x y z (fractional)
1 B 0.139 0.625 0.250
2 B 0.875 0.861 0.750
3 B 0.375 0.389 0.750
4 B 0.611 0.125 0.250
5 Al 0.500 0.500 0.000
6 Al 0.250 0.750 0.500
7 Ti 0.000 0.000 0.000
8 Ti 0.750 0.250 0.500

ΔH_f (0 K) = 35 kJ per mole of atoms
Total magnetization = 0.0 μB per formula unit
DFT total energy = -5.88 eV per atom
Mass density = 3.45 g/cm³

[3]
VASP calculation (PBE-GGA) on an optimized crystal structure of Sr2PaPtO8.

Cell lengths 4.532, 5.522, 6.983 Å; angles 90.00, 90.00, 95.40 degrees
Last column: magnetic moment on the atom in μB.
Element x y z (fractional)
1 O 0.422 0.107 0.000  0.04
2 O 0.578 0.893 0.000  0.04
3 O 0.056 0.770 0.224  0.02
4 O 0.056 0.770 0.776  0.02
5 O 0.944 0.230 0.776  0.02
6 O 0.608 0.776 0.500  0.00
7 O 0.392 0.224 0.500  0.00
8 O 0.944 0.230 0.224  0.02
9 Sr 0.500 0.500 0.758  0.00
10 Sr 0.500 0.500 0.242  0.00
11 Pa 0.000 0.000 0.500  0.00
12 Pt 0.000 0.000 0.000  0.08

Formation energy from raw total energies = -2.08 eV/atom
Total magnetization = 0.3 μB per formula unit
DFT total energy = -6.96 eV per atom
Mass density = 6.96 g/cm³

[4]
VASP calculation (PBE-GGA) on an optimized crystal structure of Nd2HgTe.

Cell lengths 4.209, 4.209, 8.690 Å; angles 75.99, 75.99, 60.00 degrees
Element x y z (fractional)
1 Te 0.668 0.668 0.997
2 Nd 0.081 0.081 0.758
3 Nd 0.252 0.252 0.243
4 Hg 0.499 0.499 0.502

Formation energy from raw total energies = -0.84 eV/atom
Total magnetization = 0.0 μB per formula unit
DFT total energy = -4.08 eV per atom
Mass density = 8.00 g/cm³

[5]
VASP calculation (PBE-GGA) on an optimized crystal structure of PuTlZnPd.

Cell lengths 4.918, 4.918, 4.918 Å; angles 60.00, 60.00, 60.00 degrees
Last column: magnetic moment on the atom in μB.
Element x y z (fractional)
1 Pd 0.250 0.250 0.250  -0.06
2 Tl 0.000 0.000 0.000  -0.01
3 Zn 0.750 0.750 0.750  0.02
4 Pu 0.500 0.500 0.500  5.22

ΔH_f (0 K) = -15 kJ per mole of atoms
Total magnetization = 5.4 μB per formula unit
DFT total energy = -5.95 eV per atom
Mass density = 12.24 g/cm³

[6]
VASP calculation (PBE-GGA) on an optimized crystal structure of KAlIr.

Cell lengths 5.012, 5.012, 2.749 Å; angles 90.00, 90.00, 120.00 degrees
Element x y z (fractional)
1 Ir 0.667 0.333 0.167
2 K 0.333 0.667 0.666
3 Al 0.000 0.000 0.167

ΔH_f (0 K) = 55 kJ per mole of atoms
Total magnetization = 0.0 μB per formula unit
DFT total energy = -4.00 eV per atom
Mass density = 7.17 g/cm³

[7]
VASP calculation (PBE-GGA) on an optimized crystal structure of AlTc2Ir.

Cell lengths 4.924, 4.924, 4.924 Å; angles 135.59, 135.59, 64.61 degrees
Element x y z (fractional)
1 Tc 0.500 0.500 0.000
2 Tc 0.000 0.000 0.000
3 Al 0.250 0.750 0.500
4 Ir 0.750 0.250 0.500

ΔH_f (0 K) = -27 kJ per mole of atoms
Total magnetization = 0.0 μB per formula unit
DFT total energy = -8.61 eV per atom
Mass density = 11.96 g/cm³

[8]
VASP calculation (PBE-GGA) on an optimized crystal structure of CsScPb.

Cell lengths 15.360, 7.393, 4.213 Å; angles 90.00, 90.00, 90.00 degrees
Element x y z (fractional)
1 Pb 0.070 0.750 0.500
2 Pb 0.570 0.750 0.000
3 Pb 0.930 0.250 0.500
4 Pb 0.430 0.250 0.000
5 Cs 0.709 0.250 0.000
6 Cs 0.791 0.750 0.500
7 Cs 0.291 0.750 0.000
8 Cs 0.209 0.250 0.500
9 Sc 0.000 0.500 0.000
10 Sc 0.000 0.000 0.000
11 Sc 0.500 0.000 0.500
12 Sc 0.500 0.500 0.500

ΔH_f (0 K) = -5 kJ per mole of atoms
Total magnetization = 0.1 μB per formula unit
DFT total energy = -3.68 eV per atom
Mass density = 5.35 g/cm³